# MgTc2Se, relaxed, DFT PBE
data_MgTc2Se
_chemical_formula_sum 'Mg2 Tc4 Se2'
_symmetry_space_group_name_H-M 'A m m 2'
_symmetry_Int_Tables_number 38
_symmetry_space_group_name_Hall 'A 2 -2'
_cell_length_a 3.0055
_cell_length_b 3.0424
_cell_length_c 15.3013
_cell_angle_alpha 90.00
_cell_angle_beta 90.00
_cell_angle_gamma 90.00
loop_
_atom_site_label
_atom_site_type_symbol
_atom_site_fract_x
_atom_site_fract_y
_atom_site_fract_z
_atom_site_occupancy
Mg1 Mg 0.0000 0.0000 0.0000 1
Tc1 Tc 0.0000 0.0000 0.2192 1
Tc2 Tc 0.5000 0.0000 0.6256 1
Se1 Se 0.5000 0.0000 0.3565 1
# E above lowest polymorph (meV per atom): 0
# Fermi-level density of states (states/eV per cell): 8.0
# Formation energy from raw total energies (eV/atom): 0.000